No. 1
PbSO3 at its PBEsol-relaxed geometry. Source: Alexandria via LeMat-Bulk, functional meta-GGA SCAN.

E_form (uncorrected), eV/atom: -1.43
Crystal system: orthorhombic

Geometry as extended XYZ:
```
20
Lattice="5.4613 0.0000 0.0000 0.0000 6.7621 0.0000 0.0000 0.0000 7.8804" Properties=species:S:1:pos:R:3 pbc="T T T"
Pb 1.3653 0.9130 1.4797
Pb 4.0960 5.8492 6.4007
Pb 1.3653 2.4681 5.4199
Pb 4.0960 4.2940 2.4605
O 1.3653 3.4741 1.5038
O 2.8809 1.4580 7.4017
O 2.5804 4.8391 4.4189
O 2.5804 5.3041 0.4787
O 5.3110 1.4580 7.4017
O 4.0960 0.0930 2.4364
O 2.8809 1.9231 3.4615
O 4.0960 3.2880 6.3766
O 1.3653 6.6691 5.4440
O 5.3110 1.9231 3.4615
O 0.1503 4.8391 4.4189
O 0.1503 5.3041 0.4787
S 1.3653 5.7721 4.2049
S 4.0960 2.3911 7.6157
S 1.3653 4.3711 0.2647
S 4.0960 0.9900 3.6755
```

---

No. 2
Pb3SO6 at its PBEsol-relaxed geometry. Source: Alexandria via LeMat-Bulk, functional meta-GGA SCAN.

Energy relative to the lowest polymorph listed for this composition, meV per atom: 34
E_form (uncorrected), eV/atom: -1.42
Crystal system: orthorhombic

Geometry as extended XYZ:
```
20
Lattice="5.8880 0.0000 0.0000 0.0000 7.8539 0.1019 0.0000 -1.2584 7.7531" Properties=species:S:1:pos:R:3 pbc="T T T"
Pb 1.4720 6.9021 0.9011
Pb 1.4720 5.7715 5.0488
Pb 4.4160 3.9742 6.5579
Pb 4.4160 -0.3066 6.9540
Pb 4.4160 0.8240 2.8062
Pb 1.4720 2.6213 1.2971
O 2.9440 0.9342 1.1126
O 0.0000 0.9342 1.1126
O 1.4720 3.4503 5.4085
O 1.4720 1.8655 3.5211
O 0.0000 5.6613 6.7424
O 0.2509 1.3674 5.5484
O 5.6371 5.2281 2.3067
O 2.9440 5.6613 6.7424
O 4.4160 4.7300 4.3340
O 4.4160 3.1452 2.4466
O 3.1948 5.2281 2.3067
O 2.6931 1.3674 5.5484
S 4.4160 4.5938 2.8393
S 1.4720 2.0017 5.0158
```

---

No. 3
PbS2O3 at its PBEsol-relaxed geometry. Source: Alexandria via LeMat-Bulk, functional meta-GGA SCAN.

E_form (uncorrected), eV/atom: -1.20
Crystal system: orthorhombic

Geometry as extended XYZ:
```
48
Lattice="6.8917 0.0000 0.0000 0.0000 7.1715 0.0000 0.0000 0.0000 16.0416" Properties=species:S:1:pos:R:3 pbc="T T T"
O 3.2195 4.6092 6.8321
O 5.6911 0.2867 15.2936
O 1.2006 3.2990 7.2728
O 0.4041 5.9524 10.1112
O 2.2453 3.2990 15.2936
O 0.4041 2.3667 13.9512
O 3.6721 6.1481 14.8529
O 6.6654 2.5623 1.1887
O 3.8500 4.8049 10.1112
O 2.2453 6.8848 8.7688
O 4.6464 3.8725 0.7480
O 6.4876 1.2191 5.9304
O 1.2006 6.8848 0.7480
O 0.2263 4.6092 14.8529
O 6.4876 4.8049 2.0904
O 3.0417 2.3667 5.9304
O 3.2195 1.0234 1.1887
O 3.8500 1.2191 13.9512
O 3.0417 5.9524 2.0904
O 3.6721 2.5623 9.2095
O 0.2263 1.0234 9.2095
O 5.6911 3.8725 8.7688
O 6.6654 6.1481 6.8321
O 4.6464 0.2867 7.2728
S 1.1534 7.1618 9.7334
S 5.7383 0.0097 6.3082
S 2.2925 3.5761 6.3082
S 4.5992 3.5955 9.7334
S 4.5992 0.0097 14.3290
S 5.5257 2.7850 11.3770
S 1.1534 3.5761 14.3290
S 1.3660 4.3865 4.6646
S 2.0799 0.8007 11.3770
S 2.2925 7.1618 1.7126
S 4.8118 6.3708 4.6646
S 1.3660 0.8007 3.3562
S 5.5257 6.3708 12.6854
S 2.0799 4.3865 12.6854
S 4.8118 2.7850 3.3562
S 5.7383 3.5955 1.7126
Pb 5.8002 3.7843 6.0663
Pb 1.0915 3.3872 9.9752
Pb 1.0915 6.9730 14.0871
Pb 5.8002 0.1985 1.9545
Pb 2.3543 6.9730 6.0663
Pb 4.5373 0.1985 9.9752
Pb 2.3543 3.3872 1.9545
Pb 4.5373 3.7843 14.0871
```

---

No. 4
PbSO3 at its PBEsol-relaxed geometry. Source: Alexandria via LeMat-Bulk, functional meta-GGA SCAN.

E_form (uncorrected), eV/atom: -1.42
Crystal system: monoclinic

Geometry as extended XYZ:
```
10
Lattice="-1.0095 1.8348 3.9519 1.5359 -4.4557 2.4611 6.0385 1.4753 -1.0976" Properties=species:S:1:pos:R:3 pbc="T T T"
O 6.1316 -1.5643 1.9562
O 0.4334 0.4187 3.3592
O 2.4948 -1.2875 1.5981
O 1.7956 0.7408 0.4778
O 4.0702 0.1419 3.7173
O 4.7693 -1.8864 4.8376
S 5.2369 -0.4417 4.5470
S 1.3281 -0.7039 0.7684
Pb 2.1732 -1.7423 4.1043
Pb 4.3918 0.5967 1.2111
```

---

No. 5
Zn2Si3Pb4SO15 at its PBEsol-relaxed geometry. Source: Alexandria via LeMat-Bulk, functional meta-GGA SCAN.

E_form (uncorrected), eV/atom: -2.07
Crystal system: monoclinic

Geometry as extended XYZ:
```
50
Lattice="5.2483 0.0000 0.0000 0.0000 11.3155 -0.0030 0.0000 -3.8950 11.9698" Properties=species:S:1:pos:R:3 pbc="T T T"
O 1.0093 -0.1377 8.6985
O 4.0005 0.6368 10.0430
O 3.0908 8.1262 5.8766
O 1.4291 5.0009 11.1165
O 3.8408 5.2303 11.1203
O 0.8827 9.5068 3.6961
O 3.5445 3.3610 8.0344
O 1.2496 0.9326 11.1279
O 5.1631 -2.3616 10.8670
O 0.3660 2.3889 6.5389
O 2.5389 9.7821 1.0999
O 3.5069 -2.0863 8.2708
O 3.7408 -0.6445 4.1998
O 0.7231 0.8686 4.0461
O 1.3764 6.7837 1.9239
O 1.1167 8.0650 7.7670
O 2.4378 7.2166 10.9925
O 3.1357 4.9741 2.8071
O 0.9204 4.0595 3.9325
O 3.2545 2.6663 4.1557
O 0.5116 2.4464 9.1598
O 5.0620 0.2039 0.9744
O 0.4666 -0.7058 6.0902
O 3.8738 6.4878 0.8389
O 1.2166 2.1902 0.8466
O 4.0532 2.4195 0.8504
O 0.6304 4.7541 7.8111
O 3.6335 7.5582 3.2684
O 2.9901 5.0316 5.4280
O 3.3473 6.5519 7.9207
Pb 2.0524 0.8325 6.7022
Pb 0.0786 8.7182 1.5196
Pb 0.0223 6.5607 9.3910
Pb 4.6766 6.5880 5.2646
Pb 2.6465 0.8598 2.5759
Pb 2.7028 -1.2977 10.4473
Pb 0.2498 4.7148 1.3765
Pb 2.8740 2.7056 10.5903
Zn 5.1461 2.5667 4.6190
Zn 0.0445 -1.6146 7.7517
Zn 2.6687 9.0351 4.2151
Zn 2.5219 4.8538 7.3479
Si 0.1021 -0.5959 4.4922
Si 5.1572 3.2783 7.8437
Si 2.5330 4.1422 4.1232
Si 2.9498 6.5158 2.1898
Si 0.3256 0.9047 9.7770
Si 2.7262 8.0164 7.4747
S 5.1922 1.5459 0.3930
S 2.5681 5.8746 11.5739
```

---

No. 6
SnPbS2O at its PBEsol-relaxed geometry. Source: Alexandria via LeMat-Bulk, functional meta-GGA SCAN.

E_form (uncorrected), eV/atom: -0.60
Crystal system: tetragonal

Geometry as extended XYZ:
```
5
Lattice="3.9448 0.0000 0.0000 0.0000 5.0411 0.0000 0.0000 0.0000 5.0411" Properties=species:S:1:pos:R:3 pbc="T T T"
S 0.0000 0.0000 2.5206
S 0.0000 2.5206 0.0000
Sn 0.0000 0.0000 0.0000
O 1.9724 0.0000 0.0000
Pb 1.9724 2.5206 2.5206
```

---

No. 7
SbPbO2 at its PBEsol-relaxed geometry. Source: Alexandria via LeMat-Bulk, functional meta-GGA SCAN.

E_form (uncorrected), eV/atom: -0.60
Crystal system: tetragonal

Geometry as extended XYZ:
```
8
Lattice="-2.4369 3.2912 3.6850 -4.8852 -2.2198 -1.2480 4.3785 -4.2428 2.5669" Properties=species:S:1:pos:R:3 pbc="T T T"
O -4.2189 -1.5998 1.1209
O 2.1177 -3.1622 2.1657
O -1.0415 -2.3985 3.5124
O -2.7444 0.8177 3.2088
Pb -2.0839 -2.9634 1.2687
Pb 0.0000 0.0000 0.0000
Sb -0.8597 -0.2079 3.7352
Sb -3.6610 0.5357 1.2185
```

---

No. 8
Sb2PbO at its PBEsol-relaxed geometry. Source: Alexandria via LeMat-Bulk, functional meta-GGA SCAN.

E_form (uncorrected), eV/atom: -0.15
Crystal system: tetragonal

Geometry as extended XYZ:
```
8
Lattice="-1.5427 -4.7116 -2.6802 5.2468 -0.5981 -1.9686 -0.2289 -0.9628 7.7497" Properties=species:S:1:pos:R:3 pbc="T T T"
Sb 0.7718 -3.9420 -0.7788
Sb 3.7438 -3.1765 -1.1575
Sb 1.4244 -3.9587 3.1765
Sb 1.0103 -1.4678 4.9614
Pb 3.4350 -2.1079 1.7283
Pb 0.0000 0.0000 0.0000
O 0.0402 -4.1646 1.3725
O 1.8521 -2.6549 -2.3244
```

---

In order of appearance, total DFT energy (no corrections) = -22.25; -28.86; -20.16; -22.24; -20.60; -28.04; -31.98; -39.29 eV per atom.